The following is a PBE calculation of a geometry-optimized Li2Pt4O9 structure, from the Alexandria database.

Calculated values
E_form (uncorrected) in eV per atom: -0.732
Calculated volume in Å³ per cell: 327.7

Cell: 5.1631 5.1631 14.1945 Å, 90.00 90.00 120.00°
Last column: nearest neighbours and their distance in Å.
Space group P-3c1 (No. 165)
One atom of each set of equivalent atoms:
Li  0.0000  0.0000  0.1556  6 O 2.07-2.10
Pt  0.3333  0.6667  0.0156  6 O 2.06
Pt  0.3333  0.6667  0.3176  6 O 2.02-2.13
O  0.0000  0.3143  0.2500  2 Pt 2.02, 2 Li 2.10
O  0.0379  0.3608  0.9201  3 Pt 2.06-2.13, 1 Li 2.07